Computed, not measured: an optimized crystal structure of Sr2ThNb3N8 at the GGA-PBE level of DFT.

Structure (POSCAR):
```
Sr2ThNb3N8
1.0
6.5405 0.0000 0.0000
3.2702 5.6642 0.0000
3.2702 1.8881 5.8426
Sr Th Nb N
2 1 3 8
direct
0.1242 0.1242 0.6275 Sr
0.5009 0.5009 0.4974 Sr
0.8785 0.8785 0.3644 Th
0.4954 0.0134 0.9958 Nb
0.0134 0.4954 0.9958 Nb
0.4954 0.4954 0.9958 Nb
0.2672 0.2672 0.1984 N
0.7368 0.7368 0.7897 N
0.2465 0.2465 0.8204 N
0.6865 0.2465 0.8204 N
0.2465 0.6865 0.8204 N
0.7551 0.2912 0.1986 N
0.2912 0.7551 0.1986 N
0.7551 0.7551 0.1986 N
```

Computed properties:
symmetry = R3m
E_form (uncorrected) = -0.801 eV per atom
electronic total energy = -8.49 eV per atom
calculated volume = 216.4 Å³/cell